No. 1
The following is a meta-GGA SCAN calculation of ZrCo2Ir at its PBEsol-relaxed geometry, from the Alexandria database.

Cell and atoms, written as CIF:
```
data_ZrCo2Ir
_chemical_formula_sum 'Zr1 Co2 Ir1'
_cell_length_a 3.797
_cell_length_b 3.797
_cell_length_c 3.697
_cell_angle_alpha 90.00
_cell_angle_beta 90.00
_cell_angle_gamma 90.00
_symmetry_space_group_name_H-M 'P 4/m m m'
_symmetry_Int_Tables_number 123
_symmetry_space_group_name_Hall '-P 4 2'
loop_
_atom_site_label
_atom_site_type_symbol
_atom_site_fract_x
_atom_site_fract_y
_atom_site_fract_z
Zr1 Zr 0.000 0.000 0.000
Co1 Co 0.000 0.500 0.500
Ir1 Ir 0.500 0.500 0.000
```

ΔH_f (0 K) (eV per formula unit): -1.43
Density (Mg/m³): 12.5
Electronic total energy (eV/atom): -34.46

No. 2
The following is a meta-GGA SCAN calculation of ZrCoIr2 at its PBEsol-relaxed geometry, from the Alexandria database.

Cell and atoms, written as CIF:
```
data_ZrCoIr2
_chemical_formula_sum 'Zr1 Co1 Ir2'
_cell_length_a 3.252
_cell_length_b 3.252
_cell_length_c 5.644
_cell_angle_alpha 90.00
_cell_angle_beta 90.00
_cell_angle_gamma 90.00
_symmetry_space_group_name_H-M 'P 4 m m'
_symmetry_Int_Tables_number 99
loop_
_symmetry_equiv_pos_as_xyz
'x,y,z'
'-y,x,z'
'-x,-y,z'
'y,-x,z'
'-x,y,z'
'y,x,z'
'x,-y,z'
'-y,-x,z'
loop_
_atom_site_label
_atom_site_type_symbol
_atom_site_fract_x
_atom_site_fract_y
_atom_site_fract_z
Zr1 Zr 0.000 0.000 0.000
Co1 Co 0.500 0.500 0.281
Ir1 Ir 0.000 0.000 0.458
Ir2 Ir 0.500 0.500 0.734
```

ΔH_f (0 K) (eV per formula unit): -0.99
Density (Mg/m³): 14.9
Electronic total energy (eV/atom): -47.80

No. 3
The following is a meta-GGA SCAN calculation of KCo2 at its PBEsol-relaxed geometry, from the Alexandria database.

Cell and atoms, written as CIF:
```
data_KCo2
_chemical_formula_sum 'K4 Co8'
_cell_length_a 12.335
_cell_length_b 2.616
_cell_length_c 8.006
_cell_angle_alpha 90.00
_cell_angle_beta 112.57
_cell_angle_gamma 90.00
_symmetry_space_group_name_H-M 'C 1 2/m 1'
_symmetry_Int_Tables_number 12
loop_
_symmetry_equiv_pos_as_xyz
'x,y,z'
'-x,-y,-z'
'-x,y,-z'
'x,-y,z'
'x+1/2,y+1/2,z'
'-x+1/2,-y+1/2,-z'
'-x+1/2,y+1/2,-z'
'x+1/2,-y+1/2,z'
loop_
_atom_site_label
_atom_site_type_symbol
_atom_site_fract_x
_atom_site_fract_y
_atom_site_fract_z
K1 K 0.166 0.000 0.165
Co1 Co 0.052 0.500 0.711
Co2 Co 0.094 0.000 0.501
```

ΔH_f (0 K) (eV per formula unit): 2.48
Density (Mg/m³): 4.4
Electronic total energy (eV/atom): -13.48